Er4MgRh | GGA-PBEsol | optimized geometry

Output
- density (g cm⁻³) = 8.82
- final energy (eV/atom) = -5.317
- N(E_F) (states/eV/f.u.) = 5.6
- energy relative to the elements (meV/atom) = -390

```
Er4MgRh
1.0
9.464 0.000 0.000
4.732 8.196 0.000
4.732 2.732 7.727
Er Mg Rh
16 4 4
direct
0.903 0.903 0.290 Er
0.290 0.903 0.903 Er
0.903 0.903 0.903 Er
0.903 0.290 0.903 Er
0.063 0.437 0.437 Er
0.437 0.063 0.063 Er
0.063 0.063 0.437 Er
0.437 0.437 0.063 Er
0.437 0.063 0.437 Er
0.063 0.437 0.063 Er
0.685 0.315 0.315 Er
0.315 0.685 0.685 Er
0.685 0.685 0.315 Er
0.315 0.315 0.685 Er
0.315 0.685 0.315 Er
0.685 0.315 0.685 Er
0.670 0.670 0.990 Mg
0.990 0.670 0.670 Mg
0.670 0.670 0.670 Mg
0.670 0.990 0.670 Mg
0.108 0.108 0.676 Rh
0.676 0.108 0.108 Rh
0.108 0.108 0.108 Rh
0.108 0.676 0.108 Rh
```

ErMgRh2 | GGA-PBEsol | optimized geometry

Output
- density (g cm⁻³) = 9.91
- final energy (eV/atom) = -6.433
- N(E_F) (states/eV/f.u.) = 1.8
- energy relative to the elements (meV/atom) = -703

```
ErMgRh2
1.0
4.549 0.000 0.000
2.275 3.940 0.000
2.275 1.313 3.714
Mg Rh Er
1 2 1
direct
0.000 0.000 0.000 Mg
0.750 0.750 0.750 Rh
0.250 0.250 0.250 Rh
0.500 0.500 0.500 Er
```

Er2MgS4 | GGA-PBEsol | optimized geometry

Output
- density (g cm⁻³) = 5.62
- final energy (eV/atom) = -6.079
- polymorph energy (0 for the lowest one) (eV per formula unit) = 0.000

```
Er2MgS4
1.0
3.712 0.000 0.000
-1.856 6.146 0.000
0.000 0.000 12.622
Er Mg S
4 2 8
direct
0.620 0.239 0.785 Er
0.380 0.761 0.285 Er
0.861 0.721 0.583 Er
0.139 0.279 0.083 Er
0.875 0.751 0.947 Mg
0.125 0.249 0.447 Mg
0.210 0.421 0.637 S
0.790 0.579 0.137 S
0.516 0.031 0.994 S
0.484 0.969 0.494 S
0.239 0.478 0.896 S
0.761 0.522 0.396 S
0.965 0.929 0.766 S
0.035 0.071 0.266 S
```

Er2MgS4 | GGA-PBEsol | optimized geometry

Output
- density (g cm⁻³) = 4.90
- final energy (eV/atom) = -6.067
- N(E_F) (states/eV/f.u.) = 0.0
- polymorph energy (0 for the lowest one) (eV per formula unit) = 0.085

```
Er2MgS4
1.0
7.756 0.000 0.000
3.878 6.716 0.000
3.878 2.239 6.332
Er Mg S
4 2 8
direct
0.625 0.625 0.125 Er
0.625 0.125 0.625 Er
0.625 0.625 0.625 Er
0.125 0.625 0.625 Er
0.000 0.000 0.000 Mg
0.250 0.250 0.250 Mg
0.859 0.380 0.380 S
0.380 0.380 0.380 S
0.380 0.380 0.859 S
0.380 0.859 0.380 S
0.870 0.391 0.870 S
0.870 0.870 0.391 S
0.870 0.870 0.870 S
0.391 0.870 0.870 S
```

ErMg2Sc | GGA-PBEsol | optimized geometry

Output
- density (g cm⁻³) = 4.49
- final energy (eV/atom) = -3.777
- N(E_F) (states/eV/f.u.) = 5.4
- energy relative to the elements (meV/atom) = -36

```
ErMg2Sc
1.0
5.147 0.000 0.000
2.574 4.458 0.000
2.574 1.486 4.203
Sc Mg Er
1 2 1
direct
0.000 0.000 0.000 Sc
0.250 0.250 0.250 Mg
0.750 0.750 0.750 Mg
0.500 0.500 0.500 Er
```

Er2MgSe4 | GGA-PBEsol | optimized geometry

Output
- density (g cm⁻³) = 5.95
- final energy (eV/atom) = -5.529
- polymorph energy (0 for the lowest one) (eV per formula unit) = 0.000

```
Er2MgSe4
1.0
-5.759 2.297 -5.221
-4.250 -5.582 -4.060
-7.811 -1.234 1.780
Er Mg Se
4 2 8
direct
0.625 0.625 0.125 Er
0.625 0.625 0.625 Er
0.625 0.125 0.625 Er
0.125 0.625 0.625 Er
0.250 0.250 0.250 Mg
0.000 0.000 0.000 Mg
0.380 0.380 0.859 Se
0.380 0.380 0.380 Se
0.380 0.859 0.380 Se
0.859 0.380 0.380 Se
0.870 0.870 0.870 Se
0.870 0.870 0.391 Se
0.870 0.391 0.870 Se
0.391 0.870 0.870 Se
```

Er2MgSe4 | GGA-PBEsol | optimized geometry

Output
- density (g cm⁻³) = 6.46
- final energy (eV/atom) = -5.488
- polymorph energy (0 for the lowest one) (eV per formula unit) = 0.290

```
Er2MgSe4
1.0
-1.092 3.060 -2.217
-2.763 -8.037 -9.734
-12.779 -1.210 4.627
Er Mg Se
8 4 16
direct
0.750 0.386 0.424 Er
0.250 0.614 0.576 Er
0.250 0.114 0.924 Er
0.750 0.886 0.076 Er
0.750 0.356 0.798 Er
0.250 0.644 0.202 Er
0.250 0.144 0.298 Er
0.750 0.856 0.702 Er
0.250 0.385 0.053 Mg
0.750 0.615 0.947 Mg
0.750 0.115 0.553 Mg
0.250 0.885 0.447 Mg
0.250 0.488 0.882 Se
0.750 0.512 0.118 Se
0.750 0.012 0.382 Se
0.250 0.988 0.618 Se
0.750 0.468 0.619 Se
0.250 0.532 0.381 Se
0.250 0.032 0.119 Se
0.750 0.968 0.881 Se
0.750 0.280 0.246 Se
0.250 0.720 0.754 Se
0.250 0.220 0.746 Se
0.750 0.780 0.254 Se
0.250 0.243 0.486 Se
0.750 0.757 0.514 Se
0.750 0.257 0.986 Se
0.250 0.743 0.014 Se
```

Er2MgSi2 | GGA-PBEsol | optimized geometry

Output
- density (g cm⁻³) = 6.73
- final energy (eV/atom) = -5.367
- N(E_F) (states/eV/f.u.) = 1.7

```
Er2MgSi2
1.0
4.112 0.000 0.000
0.000 7.055 0.000
0.000 0.000 7.055
Si Mg Er
4 2 4
direct
0.000 0.381 0.881 Si
0.000 0.119 0.381 Si
0.000 0.881 0.619 Si
0.000 0.619 0.119 Si
0.000 0.500 0.500 Mg
0.000 0.000 0.000 Mg
0.500 0.322 0.178 Er
0.500 0.178 0.678 Er
0.500 0.822 0.322 Er
0.500 0.678 0.822 Er
```